Entry 1:
## CrGaIO2 (PBE+U)

Data for CrGaIO2 after structural relaxation.

a = 3.9301 Å, b = 3.9301 Å, c = 6.5019 Å
α = 90.00°, β = 90.00°, γ = 90.00°
Last column: magnetic moment on the atom in μB.
Atoms (fractional coordinates):
Ga (0.5000, 0.5000, 0.5000)  0.00
Cr (0.0000, 0.0000, 0.0000)  3.05
O (0.5000, 0.0000, 0.0000)  -0.40
O (0.0000, 0.5000, 0.0000)  -0.40
I (0.0000, 0.0000, 0.5000)  0.02

total magnetization = 2.31 μB per cell
symmetry = P4/mmm

***

Entry 2:
## CrGaIO2 (PBE+U)

Data for CrGaIO2 after structural relaxation.

a = 3.8654 Å, b = 3.8654 Å, c = 6.2466 Å
α = 90.00°, β = 90.00°, γ = 90.00°
Last column: magnetic moment on the atom in μB.
Atoms (fractional coordinates):
O (0.5000, 0.0000, 0.0000)  0.02
O (0.0000, 0.5000, 0.0000)  0.02
Ga (0.0000, 0.0000, 0.0000)  0.00
Cr (0.5000, 0.5000, 0.5000)  4.33
I (0.0000, 0.0000, 0.5000)  -0.06

total magnetization = 4.65 μB per cell
symmetry = P4/mmm

***

Entry 3:
## CrGaI2O (PBE+U)

Data for CrGaI2O after structural relaxation.

a = 5.8205 Å, b = 5.8205 Å, c = 3.6538 Å
α = 90.00°, β = 90.00°, γ = 90.00°
Last column: magnetic moment on the atom in μB.
Atoms (fractional coordinates):
Ga (0.0000, 0.0000, 0.0000)  0.01
O (0.0000, 0.0000, 0.5000)  0.01
Cr (0.5000, 0.5000, 0.5000)  4.51
I (0.5000, 0.0000, 0.0000)  -0.04
I (0.0000, 0.5000, 0.0000)  -0.04

total magnetization = 4.90 μB per cell
symmetry = P4/mmm

***

Entry 4:
## CrGaI2O (PBE+U)

Data for CrGaI2O after structural relaxation.

a = 5.8857 Å, b = 5.8857 Å, c = 3.7422 Å
α = 90.00°, β = 90.00°, γ = 90.00°
Last column: magnetic moment on the atom in μB.
Atoms (fractional coordinates):
Cr (0.0000, 0.0000, 0.0000)  3.34
I (0.0000, 0.5000, 0.0000)  -0.06
I (0.5000, 0.0000, 0.0000)  -0.06
Ga (0.5000, 0.5000, 0.5000)  0.00
O (0.0000, 0.0000, 0.5000)  -0.33

total magnetization = 3.00 μB per cell
symmetry = P4/mmm

***

The following D(E_F) values (in states/eV per atom) correspond, in order, to the records above: 0.820, 0.422, 0.354, 0.301.
The following volume values (in Å³/cell) correspond, in order, to the records above: 100.4, 93.3, 123.8, 129.6.
The following E above lowest polymorph values (in kJ/mol of atoms) correspond, in order, to the records above: 0.0, 2.7, 20.2, 0.0.